Record 1
First-principles (GGA-PBE) data for PrAgSnSe3 after structural relaxation, as listed in OQMD.

Calculated values
Total magnetization: 0.00 μB/f.u.
Electronic total energy: -4.576 eV per atom
Space-group type: Cmcm, No. 63

Lattice parameters (Å, degrees): 7.2067 7.2067 10.9409 90.00 90.00 146.39
Sites, in units of the cell vectors:
Pr: 0.0000 0.0000 0.5000
Pr: 0.0000 0.0000 0.0000
Se: 0.3512 0.6488 0.0641
Se: 0.6488 0.3512 0.9359
Se: 0.0972 0.9028 0.2500
Se: 0.9028 0.0972 0.7500
Se: 0.6488 0.3512 0.5641
Se: 0.3512 0.6488 0.4359
Ag: 0.4726 0.5274 0.2500
Ag: 0.5274 0.4726 0.7500
Sn: 0.2379 0.7621 0.7500
Sn: 0.7621 0.2379 0.2500



Record 2
First-principles (GGA-PBE) data for PrAgSnSe3 after structural relaxation, as listed in OQMD.

Calculated values
Total magnetization: 0.01 μB/f.u.
Electronic total energy: -4.577 eV per atom
Space-group type: Pnma, No. 62

Lattice parameters (Å, degrees): 11.7733 4.3785 12.1387 90.00 90.00 90.00
Sites, in units of the cell vectors:
Pr: 0.4851 0.5000 0.1849
Pr: 0.0149 0.0000 0.6849
Pr: 0.5149 0.0000 0.8151
Pr: 0.9851 0.5000 0.3151
Ag: 0.2549 0.0000 0.2917
Ag: 0.7549 0.0000 0.2083
Ag: 0.2451 0.5000 0.7917
Ag: 0.7451 0.5000 0.7083
Se: 0.7783 0.0000 0.8305
Se: 0.0941 0.0000 0.4392
Se: 0.2217 0.5000 0.1695
Se: 0.5941 0.0000 0.0608
Se: 0.0342 0.5000 0.8687
Se: 0.4658 0.0000 0.3687
Se: 0.4059 0.5000 0.9392
Se: 0.2783 0.0000 0.6695
Se: 0.5342 0.5000 0.6313
Se: 0.9658 0.0000 0.1313
Se: 0.7217 0.5000 0.3305
Se: 0.9059 0.5000 0.5608
Sn: 0.6723 0.0000 0.4978
Sn: 0.8277 0.5000 0.9978
Sn: 0.1723 0.0000 0.0022
Sn: 0.3277 0.5000 0.5022



Record 3
First-principles (GGA-PBE) data for SrPrAgTeSe2 after structural relaxation, as listed in OQMD.

Calculated values
Total magnetization: 0.00 μB/f.u.
Electronic total energy: -4.638 eV per atom
Space-group type: Cmcm, No. 63

Lattice parameters (Å, degrees): 7.5775 7.5775 11.5054 90.00 90.00 147.12
Sites, in units of the cell vectors:
Se: 0.3652 0.6348 0.9298
Se: 0.3652 0.6348 0.5702
Se: 0.6348 0.3652 0.0702
Se: 0.6348 0.3652 0.4298
Sr: 0.7796 0.2204 0.7500
Sr: 0.2204 0.7796 0.2500
Pr: 0.0000 0.0000 0.5000
Pr: 0.0000 0.0000 0.0000
Ag: 0.4801 0.5199 0.7500
Ag: 0.5199 0.4801 0.2500
Te: 0.8958 0.1042 0.2500
Te: 0.1042 0.8958 0.7500



Record 4
First-principles (GGA-PBE) data for PrTlAgSe3 after structural relaxation, as listed in OQMD.

Calculated values
Total magnetization: 0.01 μB/f.u.
Electronic total energy: -4.261 eV per atom
Space-group type: Cmcm, No. 63

Lattice parameters (Å, degrees): 7.4880 7.4880 11.1873 90.00 90.00 147.61
Sites, in units of the cell vectors:
Tl: 0.7450 0.2550 0.2500
Tl: 0.2550 0.7450 0.7500
Ag: 0.9671 0.0329 0.7500
Ag: 0.0329 0.9671 0.2500
Pr: 0.5000 0.5000 0.5000
Pr: 0.5000 0.5000 0.0000
Se: 0.8595 0.1405 0.9406
Se: 0.1405 0.8595 0.0594
Se: 0.8595 0.1405 0.5594
Se: 0.5817 0.4183 0.7500
Se: 0.4183 0.5817 0.2500
Se: 0.1405 0.8595 0.4406



Record 5
First-principles (GGA-PBE) data for PrSi2Ag2 after structural relaxation, as listed in OQMD.

Calculated values
Total magnetization: 0.00 μB/f.u.
Electronic total energy: -4.434 eV per atom
Space-group type: I4/mmm, No. 139

Lattice parameters (Å, degrees): 6.0723 6.0723 6.0723 137.53 137.53 61.63
Sites, in units of the cell vectors:
Ag: 0.6290 0.6290 0.0000
Ag: 0.3710 0.3710 0.0000
Si: 0.2500 0.7500 0.5000
Si: 0.7500 0.2500 0.5000
Pr: 0.0000 0.0000 0.0000



Record 6
First-principles (GGA-PBE) data for PrSmSi3Ag after structural relaxation, as listed in OQMD.

Calculated values
Total magnetization: 0.01 μB/f.u.
Electronic total energy: -5.420 eV per atom
Space-group type: Fmmm, No. 69

Lattice parameters (Å, degrees): 8.3684 8.3393 5.9537 69.39 68.86 41.75
Sites, in units of the cell vectors:
Si: 0.3358 0.8267 0.6642
Si: 0.6631 0.6631 0.3369
Si: 0.8267 0.3358 0.1733
Si: 0.6642 0.1733 0.3358
Si: 0.3369 0.3369 0.6631
Si: 0.1733 0.6642 0.8267
Ag: 0.1647 0.1647 0.8353
Ag: 0.8353 0.8353 0.1647
Pr: 0.2500 0.2500 0.2500
Pr: 0.7500 0.7500 0.7500
Sm: 0.2585 0.7415 0.2585
Sm: 0.7415 0.2585 0.7415